# Ho3TiAg3S8 | Alexandria via LeMat-Bulk | PBE | relaxed
data_Ho3TiAg3S8
_cell_length_a 13.4622
_cell_length_b 7.7784
_cell_length_c 7.8034
_cell_angle_alpha 90.00
_cell_angle_beta 125.39
_cell_angle_gamma 90.00
_symmetry_space_group_name_H-M 'C 1 2/m 1'
_symmetry_Int_Tables_number 12
loop_
_symmetry_equiv_pos_as_xyz
'x,y,z'
'-x,-y,-z'
'-x,y,-z'
'x,-y,z'
'x+1/2,y+1/2,z'
'-x+1/2,-y+1/2,-z'
'-x+1/2,y+1/2,-z'
'x+1/2,-y+1/2,z'
loop_
_atom_site_label
_atom_site_fract_x
_atom_site_fract_y
_atom_site_fract_z
_atom_site_occupancy
Ho1 0.0000 0.0000 0.0000 1
Ho2 0.2500 0.2500 0.5000 1
Ti1 0.0000 0.5000 0.0000 1
Ag1 0.0000 0.5000 0.5000 1
Ag2 0.2500 0.2500 0.0000 1
S1 0.0023 0.2704 0.2257 1
S2 0.2272 0.5000 0.2336 1
S3 0.2474 0.0000 0.2543 1
# Total moment in Bohr magnetons per cell: 0.00
# Theoretical density in kg/m³: 5597
# ΔE_f (raw) in eV/atom: -1.25


# KSr2Sb | Alexandria via LeMat-Bulk | PBE | relaxed
data_KSr2Sb
_cell_length_a 5.5618
_cell_length_b 5.5618
_cell_length_c 10.1260
_cell_angle_alpha 90.00
_cell_angle_beta 90.00
_cell_angle_gamma 90.00
_symmetry_space_group_name_H-M 'I 4/m m m'
_symmetry_Int_Tables_number 139
_symmetry_space_group_name_Hall '-I 4 2'
loop_
_atom_site_label
_atom_site_fract_x
_atom_site_fract_y
_atom_site_fract_z
_atom_site_occupancy
K1 0.0000 0.0000 0.0000 1
Sr1 0.0000 0.5000 0.2500 1
Sb1 0.0000 0.0000 0.5000 1
# Total moment in Bohr magnetons per cell: 0.00
# Theoretical density in kg/m³: 3564
# ΔE_f (raw) in eV/atom: -0.29